Entry from Alexandria: Sm2Al4Zn3Pd after structural relaxation (PBE).

Summary:
D(E_F) = 0.654 states/eV per atom
energy of formation = -491.5 kJ/mol of formula units

Lattice parameters (Å, degrees): 4.218 4.218 10.732 90.00 90.00 90.00
Sites, in units of the cell vectors:
Sm (0.000, 0.500, 0.250)
Sm (0.500, 0.000, 0.750)
Al (0.000, 0.000, 0.000)
Al (0.000, 0.500, 0.629)
Al (0.500, 0.000, 0.371)
Al (0.500, 0.500, 0.000)
Zn (0.000, 0.500, 0.861)
Zn (0.500, 0.000, 0.139)
Zn (0.500, 0.500, 0.500)
Pd (0.000, 0.000, 0.500)